Entry 1:
{"formula": "RbOs", "functional": "PBE-GGA", "state": "relaxed", "lattice": [[7.7852, 0.0000, 0.0000], [0.0000, 7.7852, 0.0000], [0.0000, 0.0000, 6.7135]], "species": ["Rb", "Rb", "Rb", "Os", "Os", "Rb", "Os", "Os", "Rb", "Rb", "Os", "Os", "Os", "Os", "Rb", "Rb"], "fractional_positions": [[0.7383, 0.2617, 0.2500], [0.5100, 0.5100, 0.5000], [0.2383, 0.2383, 0.5000], [0.6062, 0.1256, 0.7492], [0.3744, 0.1062, 0.9992], [0.0100, 0.9900, 0.2500], [0.3938, 0.8744, 0.2492], [0.6256, 0.8938, 0.4992], [0.9900, 0.0100, 0.7500], [0.7617, 0.7617, 0.0000], [0.1256, 0.6062, 0.2508], [0.1062, 0.3744, 0.0008], [0.8938, 0.6256, 0.5008], [0.8744, 0.3938, 0.7508], [0.4900, 0.4900, 0.0000], [0.2617, 0.7383, 0.7500]], "relative_energy_mev_per_atom": 373, "total_energy_ev_per_atom": -4.81, "spacegroup": "P4_12_12, No. 92"}

---

Entry 2:
{"formula": "AgSe2Cl", "functional": "PBE-GGA", "state": "relaxed", "lattice": [[-1.8619, 1.2953, -2.9785], [1.6599, -2.5715, -2.1559], [-11.6698, -10.5539, 0.3526]], "species": ["Ag", "Cl", "Se", "Ag", "Cl", "Se", "Se", "Se"], "fractional_positions": [[0.0000, 0.0000, 0.0000], [0.2500, 0.7500, 0.5000], [0.6252, 0.1250, 0.2500], [0.7500, 0.2500, 0.5000], [0.5000, 0.5000, 0.0000], [0.3750, 0.3748, 0.7500], [0.1248, 0.6250, 0.2500], [0.8750, 0.8752, 0.7500]], "formation_energy_uncorrected_ev_per_atom": -0.073, "relative_energy_mev_per_atom": 117, "total_energy_ev_per_atom": -2.99, "spacegroup": "I-42d, No. 122"}

---

Entry 3:
{"formula": "CsSiH6Au", "functional": "PBE-GGA", "state": "relaxed", "lattice": [[-2.7819, 5.8508, -1.5634], [-5.5144, 4.6679, 2.5674], [3.8783, 0.7196, 2.6769]], "species": ["Si", "H", "Au", "Cs", "H", "H", "H", "H", "H"], "fractional_positions": [[0.4475, 0.2576, 0.4429], [0.3500, 0.2666, 0.6908], [0.0339, 0.0124, 0.0352], [0.6372, 0.6880, 0.6736], [0.6177, 0.9941, 0.2666], [0.9995, 0.2582, 0.1951], [0.6618, 0.2838, 0.5685], [0.1678, 0.4807, 0.2492], [0.0843, 0.7586, 0.8780]], "total_energy_ev_per_atom": -3.39, "spacegroup": "P1, No. 1"}

---

Entry 4:
{"formula": "RbAlGe2S6", "functional": "PBE-GGA", "state": "relaxed", "lattice": [[6.9507, 0.1473, 0.1529], [2.4092, 9.2251, -0.6376], [2.4092, -0.9791, 9.1951]], "species": ["Ge", "S", "Al", "S", "S", "S", "S", "Rb", "Ge", "Al", "Ge", "S", "S", "S", "S", "S", "S", "S", "Rb", "Ge"], "fractional_positions": [[0.8603, 0.6185, 0.7744], [0.9365, 0.3747, 0.7748], [0.2500, 0.2300, 0.7700], [0.2512, 0.9875, 0.7803], [0.9311, 0.2977, 0.3988], [0.4365, 0.7748, 0.3747], [0.0689, 0.7023, 0.6012], [0.7500, 0.1069, 0.8931], [0.6397, 0.2256, 0.3815], [0.7500, 0.7700, 0.2300], [0.1397, 0.3815, 0.2256], [0.5635, 0.2252, 0.6253], [0.7512, 0.7803, 0.9875], [0.2488, 0.2197, 0.0125], [0.7488, 0.0125, 0.2197], [0.5689, 0.6012, 0.7023], [0.4311, 0.3988, 0.2977], [0.0635, 0.6253, 0.2252], [0.2500, 0.8931, 0.1069], [0.3603, 0.7744, 0.6185]], "formation_energy_uncorrected_ev_per_atom": -0.560, "total_energy_ev_per_atom": -4.43, "spacegroup": "C2/c, No. 15"}

---

What did the third record say?
{"formula": "CsSiH6Au", "functional": "PBE-GGA", "state": "relaxed", "lattice": [[-2.7819, 5.8508, -1.5634], [-5.5144, 4.6679, 2.5674], [3.8783, 0.7196, 2.6769]], "species": ["Si", "H", "Au", "Cs", "H", "H", "H", "H", "H"], "fractional_positions": [[0.4475, 0.2576, 0.4429], [0.3500, 0.2666, 0.6908], [0.0339, 0.0124, 0.0352], [0.6372, 0.6880, 0.6736], [0.6177, 0.9941, 0.2666], [0.9995, 0.2582, 0.1951], [0.6618, 0.2838, 0.5685], [0.1678, 0.4807, 0.2492], [0.0843, 0.7586, 0.8780]], "total_energy_ev_per_atom": -3.39, "spacegroup": "P1, No. 1"}